Entry from Alexandria: a relaxed CdGaAg crystal (PBE-GGA).

Cell: 6.4214 6.4214 6.4214 Å, 90.00 90.00 90.00°
With the nearest neighbours (Å) after each atom.
Space group F-43m (No. 216)
Asymmetric unit:
Cd  0.0000  0.0000  0.0000  4 Ag 2.78
Ga  0.0000  0.0000  0.5000  4 Ag 2.78
Ag  0.2500  0.2500  0.2500  4 Ga 2.78, 4 Cd 2.78

Energy above the most stable polymorph in this dataset ... 0.089 eV/atom
Formation enthalpy at 0 K ... 0.08 eV/atom
M_tot ... 0.000 μB per formula unit
Theoretical density ... 7.275 Mg/m³
E_tot ... -6.55 eV/f.u.